# 1
SmIn4Pd4 | GGA-PBE | relaxed

Cell lengths 5.427, 8.818, 8.818 Å; angles 90.00, 90.00, 90.00 degrees
Sites, in units of the cell vectors:
In: 0.094 0.836 0.391
Pd: 0.092 0.136 0.297
In: 0.906 0.391 0.164
Sm: 0.000 0.000 0.000
Pd: 0.092 0.864 0.703
Pd: 0.408 0.364 0.203
In: 0.594 0.109 0.336
In: 0.094 0.164 0.609
In: 0.406 0.336 0.891
Pd: 0.592 0.203 0.636
Sm: 0.500 0.500 0.500
In: 0.906 0.609 0.836
Pd: 0.908 0.703 0.136
Pd: 0.592 0.797 0.364
In: 0.594 0.891 0.664
Pd: 0.408 0.636 0.797
In: 0.406 0.664 0.109
Pd: 0.908 0.297 0.864

Output
The magnetization comes out at 0.0 μB per formula unit. As for the space-group type: P4_2/n. The calculation puts the formation energy from the elements at -386 meV per atom. The value obtained for the mass density is 8.15 g cm⁻³. The volume is 422.0 Å³ per cell.

---

# 2
HfBePO2 | GGA-PBE | relaxed

Cell lengths 3.933, 3.933, 5.566 Å; angles 90.00, 90.00, 90.00 degrees
Last column: magnetic moment on the atom in μB.
Sites, in units of the cell vectors:
O: 0.000 0.500 0.000  -0.08
P: 0.000 0.000 0.500  -0.01
Hf: 0.000 0.000 0.000  0.01
Be: 0.500 0.500 0.500  0.00
O: 0.500 0.000 0.000  -0.08

Output
The magnetization comes out at 0.2 μB per formula unit. As for the space-group type: P4/mmm. Its uncorrected formation energy is -1.048 eV/atom. Its energy above the most stable polymorph in this dataset is 0 meV/atom. The value obtained for the mass density is 4.83 g cm⁻³. The volume is 86.1 Å³ per cell.

---

# 3
Na3Tl8In2 | GGA-PBE | relaxed

Cell lengths 6.147, 8.472, 8.472 Å; angles 81.98, 69.66, 69.66 degrees
Sites, in units of the cell vectors:
Na: 0.000 0.747 0.253
Tl: 0.798 0.428 0.428
Tl: 0.671 0.076 0.584
In: 0.374 0.295 0.295
Tl: 0.671 0.584 0.076
Na: 0.500 0.000 0.000
Na: 0.000 0.253 0.747
Tl: 0.329 0.416 0.924
In: 0.626 0.705 0.705
Tl: 0.934 0.148 0.148
Tl: 0.066 0.852 0.852
Tl: 0.202 0.572 0.572
Tl: 0.329 0.924 0.416

Output
The magnetization comes out at 0.0 μB per formula unit. As for the space-group type: C2/m. The calculation puts the formation energy from the elements at -36 meV per atom. Its energy above the most stable polymorph in this dataset is 0 meV/atom. The value obtained for the mass density is 8.28 g cm⁻³. The volume is 387.8 Å³ per cell.

---

# 4
GaRh2N | GGA-PBE | relaxed

Cell lengths 4.149, 4.149, 4.149 Å; angles 60.00, 60.00, 60.00 degrees
Last column: magnetic moment on the atom in μB.
Sites, in units of the cell vectors:
N: 0.000 0.000 0.000  0.24
Rh: 0.250 0.250 0.250  0.28
Ga: 0.500 0.500 0.500  0.00
Rh: 0.750 0.750 0.750  0.28

Output
The magnetization comes out at 0.9 μB per formula unit. As for the space-group type: Fm-3m. Its uncorrected formation energy is 0.699 eV/atom. The value obtained for the mass density is 9.52 g cm⁻³. The volume is 50.5 Å³ per cell.

---

# 5
Zn5Re | GGA-PBE | relaxed

Cell lengths 7.272, 7.272, 4.547 Å; angles 90.00, 90.00, 158.59 degrees
Sites, in units of the cell vectors:
Zn: 0.335 0.665 0.000
Zn: 0.224 0.776 0.500
Zn: 0.890 0.110 0.500
Zn: 0.665 0.335 0.000
Zn: 0.554 0.446 0.500
Re: 0.999 0.001 0.000

Output
The magnetization comes out at 0.0 μB per formula unit. As for the space-group type: Amm2. The calculation puts the formation energy from the elements at 116 meV per atom. Its energy above the most stable polymorph in this dataset is 26 meV/atom. The value obtained for the mass density is 9.71 g cm⁻³. The volume is 87.8 Å³ per cell.

---

# 6
Tl2ZnPb | GGA-PBE | relaxed

Cell lengths 5.254, 3.415, 6.524 Å; angles 73.15, 90.00, 90.00 degrees
Sites, in units of the cell vectors:
Tl: 0.000 0.107 0.014
Tl: 0.000 0.393 0.486
Pb: 0.500 0.750 0.750
Zn: 0.500 0.250 0.250

Output
The magnetization comes out at 0.0 μB per formula unit. As for the space-group type: P2/m. The calculation puts the formation energy from the elements at 118 meV per atom. Its energy above the most stable polymorph in this dataset is 34 meV/atom. The value obtained for the mass density is 10.10 g cm⁻³. The volume is 112.1 Å³ per cell.

---

# 7
Sr2MgNiHg | GGA-PBE | relaxed

Cell lengths 5.674, 4.951, 5.674 Å; angles 90.00, 90.00, 90.00 degrees
Sites, in units of the cell vectors:
Mg: 0.000 0.500 0.000
Sr: 0.500 0.000 0.000
Ni: 0.000 0.000 0.000
Hg: 0.500 0.500 0.500
Sr: 0.000 0.000 0.500

Output
The magnetization comes out at 0.0 μB per formula unit. As for the space-group type: P4/mmm. The calculation puts the formation energy from the elements at -127 meV per atom. The value obtained for the mass density is 4.78 g cm⁻³. The volume is 159.4 Å³ per cell.

---

# 8
LiCdRuF6 | GGA-PBE | relaxed

Cell lengths 5.274, 5.274, 9.786 Å; angles 90.00, 90.00, 120.00 degrees
Last column: magnetic moment on the atom in μB.
Sites, in units of the cell vectors:
F: 0.646 0.652 0.636  0.02
Ru: 0.667 0.333 0.250  0.84
F: 0.995 0.348 0.136  0.02
Li: 0.667 0.333 0.750  0.00
Cd: 0.000 0.000 0.000  0.00
F: 0.348 0.995 0.636  0.02
F: 0.646 0.995 0.864  0.02
F: 0.348 0.354 0.864  0.02
F: 0.354 0.005 0.136  0.02
Li: 0.333 0.667 0.250  0.00
F: 0.005 0.354 0.636  0.02
F: 0.652 0.646 0.136  0.02
F: 0.652 0.005 0.364  0.02
F: 0.354 0.348 0.364  0.02
Cd: 0.000 0.000 0.500  0.00
Ru: 0.333 0.667 0.750  0.84
F: 0.005 0.652 0.864  0.02
F: 0.995 0.646 0.364  0.02

Output
The magnetization comes out at 1.0 μB per formula unit. As for the space-group type: P-31c. Its uncorrected formation energy is -2.080 eV/atom. The value obtained for the mass density is 4.71 g cm⁻³. The volume is 235.8 Å³ per cell.